No. 1
# PrNdMg3

A relaxed structure of PrNdMg3 (PBE-GGA, Alexandria).

Unit cell a=9.263 b=9.263 c=9.263 alpha=39.67 beta=39.67 gamma=39.67
Element x y z (fractional)
Mg1 0.612 0.124 0.124
Mg2 0.876 0.876 0.388
Mg3 0.124 0.612 0.124
Mg4 0.876 0.388 0.876
Mg5 0.124 0.124 0.612
Mg6 0.388 0.876 0.876
Pr1 0.432 0.432 0.432
Pr2 0.568 0.568 0.568
Nd1 0.166 0.166 0.166
Nd2 0.834 0.834 0.834

Calculated values
* space-group type: R-3m, No. 166
* Fermi-level density of states: 1.183 states/eV/atom
* total magnetization: 0.00 μB per atom
* crystal system: trigonal
* formation enthalpy at 0 K: 0.001 eV per atom

=====

No. 2
# Sr2ScSi

A relaxed structure of Sr2ScSi (PBE-GGA, Alexandria).

Unit cell a=4.462 b=4.871 c=6.742 alpha=68.82 beta=90.00 gamma=90.00
Last column: magnetic moment on the atom in μB.
Element x y z (fractional)
Si1 0.500 0.560 0.755  0.01
Sr1 0.500 0.281 0.312  0.05
Sr2 0.000 0.986 0.904  0.04
Sc1 0.000 0.673 0.528  0.19

Calculated values
* space-group type: Amm2, No. 38
* Fermi-level density of states: 0.778 states/eV/atom
* total magnetization: 0.21 μB per atom
* crystal system: orthorhombic
* formation energy from raw total energies: -0.118 eV per atom

=====

No. 3
# La2Mg6Zn

A relaxed structure of La2Mg6Zn (PBE-GGA, Alexandria).

Unit cell a=6.608 b=6.228 c=6.778 alpha=84.28 beta=90.00 gamma=122.04
Element x y z (fractional)
Mg1 0.840 0.213 0.658
Mg2 0.627 0.787 0.342
Mg3 0.858 0.716 0.691
Mg4 0.142 0.284 0.309
Mg5 0.373 0.213 0.658
Mg6 0.160 0.787 0.342
La1 0.337 0.675 0.876
La2 0.663 0.325 0.124
Zn1 0.000 0.000 0.000

Calculated values
* space-group type: C2/m, No. 12
* Fermi-level density of states: 0.939 states/eV/atom
* total magnetization: 0.00 μB per atom
* crystal system: monoclinic
* formation enthalpy at 0 K: -0.070 eV per atom

=====

No. 4
# CuPt2C

A relaxed structure of CuPt2C (PBE-GGA, Alexandria).

Unit cell a=6.432 b=6.432 c=5.267 alpha=52.37 beta=52.37 gamma=90.00
Element x y z (fractional)
C1 0.250 0.750 0.500
C2 0.500 0.500 0.000
Cu1 0.750 0.250 0.500
Cu2 0.000 0.000 0.000
Pt1 0.375 0.475 0.750
Pt2 0.875 0.775 0.750
Pt3 0.225 0.625 0.250
Pt4 0.525 0.125 0.250

Calculated values
* space-group type: I-42d, No. 122
* Fermi-level density of states: 0.342 states/eV/atom
* total magnetization: 0.00 μB per atom
* crystal system: tetragonal
* formation enthalpy at 0 K: 0.415 eV per atom

=====

No. 5
# BiMoAs2

A relaxed structure of BiMoAs2 (PBE-GGA, Alexandria).

Unit cell a=3.261 b=3.261 c=7.595 alpha=90.00 beta=90.00 gamma=90.00
Element x y z (fractional)
Mo1 0.500 0.500 0.000
As1 0.000 0.000 0.185
As2 0.000 0.000 0.815
Bi1 0.500 0.500 0.500

Calculated values
* space-group type: P4/mmm, No. 123
* Fermi-level density of states: 0.611 states/eV/atom
* total magnetization: 0.00 μB per atom
* crystal system: tetragonal
* formation enthalpy at 0 K: 0.000 eV per atom

=====

No. 6
# SrAgIr2

A relaxed structure of SrAgIr2 (PBE-GGA, Alexandria).

Unit cell a=4.531 b=4.094 c=4.094 alpha=90.00 beta=90.00 gamma=90.00
Last column: magnetic moment on the atom in μB.
Element x y z (fractional)
Sr1 0.500 0.500 0.000  -0.01
Ag1 0.500 0.000 0.500  0.02
Ir1 0.000 0.500 0.500  0.46
Ir2 0.000 0.000 0.000  0.46

Calculated values
* space-group type: P4/mmm, No. 123
* Fermi-level density of states: 1.225 states/eV/atom
* total magnetization: 0.23 μB per atom
* crystal system: tetragonal
* formation enthalpy at 0 K: 0.412 eV per atom
* energy above the most stable polymorph in this dataset: 0.223 eV/atom

=====

No. 7
# TlGa2Si

A relaxed structure of TlGa2Si (PBE-GGA, Alexandria).

Unit cell a=6.654 b=6.654 c=6.719 alpha=60.32 beta=60.32 gamma=90.00
Element x y z (fractional)
Ga1 0.569 0.125 0.250
Ga2 0.181 0.625 0.250
Ga3 0.875 0.819 0.750
Ga4 0.375 0.431 0.750
Tl1 0.000 0.000 0.000
Tl2 0.750 0.250 0.500
Si1 0.500 0.500 0.000
Si2 0.250 0.750 0.500

Calculated values
* space-group type: I-42d, No. 122
* Fermi-level density of states: 0.393 states/eV/atom
* total magnetization: 0.00 μB per atom
* crystal system: tetragonal
* formation energy from raw total energies: 0.298 eV per atom
* energy above the most stable polymorph in this dataset: 0.147 eV/atom

=====

No. 8
# Zn2HOsO6

A relaxed structure of Zn2HOsO6 (PBE-GGA, Alexandria).

Unit cell a=4.489 b=4.488 c=10.211 alpha=90.00 beta=90.00 gamma=90.00
Last column: magnetic moment on the atom in μB.
Element x y z (fractional)
O1 0.209 0.709 0.360  0.04
O2 0.791 0.291 0.360  0.04
O3 0.791 0.291 0.640  0.04
O4 0.707 0.793 0.500  0.04
O5 0.793 0.293 0.000  0.04
O6 0.207 0.707 0.000  0.04
O7 0.293 0.207 0.500  0.04
O8 0.709 0.791 0.140  0.04
O9 0.709 0.791 0.860  0.04
O10 0.209 0.709 0.640  0.04
O11 0.291 0.209 0.140  0.04
O12 0.291 0.209 0.860  0.04
Os1 0.000 0.500 0.500  0.66
Os2 0.500 0.000 0.000  0.66
Zn1 0.500 0.500 0.750  0.01
Zn2 0.000 0.000 0.750  0.01
Zn3 0.000 0.000 0.250  0.01
Zn4 0.500 0.500 0.250  0.01
H1 0.500 0.000 0.500  0.00
H2 0.000 0.500 0.000  0.00

Calculated values
* energy: -5.61 eV per atom
* space-group type: P4_2/mnm, No. 136
* Fermi-level density of states: 0.429 states/eV/atom
* total magnetization: 0.10 μB per atom
* crystal system: tetragonal